First-principles (GGA-PBE) data for RbGaSe2 after structural relaxation, as listed in Alexandria.

a b c (Å): 3.9502 3.9502 23.8179
angles (deg): 90.00 90.00 120.00
Space group R-3m (No. 166, hexagonal axes)
Asymmetric unit:
Rb 0.0000 0.0000 0.0000 [3 per cell]
Ga 0.0000 0.0000 0.5000 [3 per cell]
Se 0.0000 0.0000 0.2259 [6 per cell]

Properties
Total moment = 0.00 μB/f.u.
E_form (uncorrected) = -0.71 eV per atom
Crystal system = trigonal

First-principles (GGA-PBE) data for RbGaSe2 after structural relaxation, as listed in Alexandria.

a b c (Å): 6.611 6.853 7.100
angles (deg): 105.54 104.32 116.70
Space group P1 (No. 1)
Asymmetric unit:
Rb 0.000 0.000 0.000 [1 per cell]
Rb 0.440 0.430 0.868 [1 per cell]
Ga 0.483 0.811 0.435 [1 per cell]
Ga 0.943 0.511 0.436 [1 per cell]
Se 0.059 0.564 0.138 [1 per cell]
Se 0.354 0.857 0.734 [1 per cell]
Se 0.568 0.490 0.433 [1 per cell]
Se 0.861 0.118 0.438 [1 per cell]

Properties
Total moment = 0.00 μB/f.u.
E_form (uncorrected) = -0.91 eV per atom
Crystal system = triclinic

First-principles (GGA-PBE) data for RbGaSe2 after structural relaxation, as listed in Alexandria.

a b c (Å): 18.053 4.015 7.511
angles (deg): 90.00 114.47 90.00
Space group C2/m (No. 12)
Asymmetric unit:
Rb 0.137 0.000 0.136 [4 per cell]
Ga 0.095 0.500 0.595 [4 per cell]
Se 0.000 0.500 0.250 [4 per cell]
Se 0.184 0.000 0.683 [4 per cell]

Properties
Total moment = 0.00 μB/f.u.
E_form (uncorrected) = -0.92 eV per atom
Crystal system = monoclinic